1.
Entry from Alexandria: a geometry-optimized Ni4Pt8Rh structure (PBE-GGA).

Unit cell a=5.3944 b=5.3944 c=9.0179 alpha=72.60 beta=72.60 gamma=60.00
Closest atoms and distances in Å follow each position.
Element x y z (fractional)
Pt (0.2488, 0.2488, 0.2536)  3 Ni 2.65, 6 Pt 2.70
Ni (0.5000, 0.0000, 0.0000)  6 Pt 2.65, 6 Ni 2.70
Pt (0.7509, 0.2456, 0.2526)  1 Rh 2.62, 3 Ni 2.64-2.65, 6 Pt 2.67-2.73
Pt (0.7544, 0.2491, 0.7474)  1 Rh 2.62, 3 Ni 2.64-2.65, 6 Pt 2.67-2.73
Ni (0.5000, 0.5000, 0.0000)  6 Pt 2.65, 6 Ni 2.70
Pt (0.7509, 0.7509, 0.2526)  1 Rh 2.62, 3 Ni 2.64-2.65, 6 Pt 2.67-2.73
Pt (0.7512, 0.7512, 0.7464)  3 Ni 2.65, 6 Pt 2.70
Ni (0.0000, 0.0000, 0.0000)  6 Pt 2.64, 6 Ni 2.70
Ni (0.0000, 0.5000, 0.0000)  6 Pt 2.65, 6 Ni 2.70
Pt (0.2456, 0.7509, 0.2526)  1 Rh 2.62, 3 Ni 2.64-2.65, 6 Pt 2.67-2.73
Pt (0.2491, 0.7544, 0.7474)  1 Rh 2.62, 3 Ni 2.64-2.65, 6 Pt 2.67-2.73
Pt (0.2491, 0.2491, 0.7474)  1 Rh 2.62, 3 Ni 2.64-2.65, 6 Pt 2.67-2.73
Rh (0.5000, 0.5000, 0.5000)  6 Pt 2.62

N(E_F) (states/eV per cell): 20.27
Volume (A^3/atom): 16.41
Formation energy from the elements (meV per atom): 174

---

2.
Entry from Alexandria: a geometry-optimized Ni15Pt2Rh2 structure (PBE-GGA).

Unit cell a=6.2115 b=6.2115 c=6.2115 alpha=81.65 beta=81.65 gamma=81.65
Closest atoms and distances in Å follow each position.
Element x y z (fractional)
Ni (0.3158, 0.0000, 0.6842)  8 Ni 2.41-2.56
Ni (0.6842, 0.0000, 0.3158)  8 Ni 2.41-2.56
Ni (0.5000, 0.0000, 0.0000)  8 Ni 2.37-2.41, 2 Rh 2.48
Ni (0.1632, 0.6528, 0.6528)  8 Ni 2.31-2.52, 1 Rh 2.57
Ni (0.0000, 0.6842, 0.3158)  8 Ni 2.41-2.56
Ni (0.0000, 0.3158, 0.6842)  8 Ni 2.41-2.56
Rh (0.1013, 0.1013, 0.1013)  1 Rh 2.48, 6 Ni 2.48-2.57
Ni (0.0000, 0.0000, 0.5000)  8 Ni 2.37-2.41, 2 Rh 2.48
Ni (0.3472, 0.3472, 0.8368)  8 Ni 2.31-2.52, 1 Rh 2.57
Ni (0.3472, 0.8368, 0.3472)  8 Ni 2.31-2.52, 1 Rh 2.57
Rh (0.8987, 0.8987, 0.8987)  1 Rh 2.48, 6 Ni 2.48-2.57
Ni (0.3158, 0.6842, 0.0000)  8 Ni 2.41-2.56
Pt (0.3626, 0.3626, 0.3626)  12 Ni 2.77-2.92
Pt (0.6374, 0.6374, 0.6374)  12 Ni 2.77-2.92
Ni (0.6528, 0.6528, 0.1632)  8 Ni 2.31-2.52, 1 Rh 2.57
Ni (0.6528, 0.1632, 0.6528)  8 Ni 2.31-2.52, 1 Rh 2.57
Ni (0.6842, 0.3158, 0.0000)  8 Ni 2.41-2.56
Ni (0.0000, 0.5000, 0.0000)  8 Ni 2.37-2.41, 2 Rh 2.48
Ni (0.8368, 0.3472, 0.3472)  8 Ni 2.31-2.52, 1 Rh 2.57

N(E_F) (states/eV per cell): 28.58
Volume (A^3/atom): 12.25
Formation energy from the elements (meV per atom): 151

---

3.
Entry from Alexandria: a geometry-optimized Ni2Pt8Rh structure (PBE-GGA).

Unit cell a=3.9163 b=6.1795 c=7.2712 alpha=105.29 beta=105.62 gamma=90.00
Closest atoms and distances in Å follow each position.
Element x y z (fractional)
Pt (0.1411, 0.1956, 0.2823)  3 Ni 2.65-2.69, 7 Pt 2.71-2.82, 2 Rh 2.81
Pt (0.3172, 0.0855, 0.6344)  8 Pt 2.72-2.78, 3 Ni 2.72-2.79, 1 Rh 2.75
Pt (0.0482, 0.7284, 0.0963)  1 Ni 2.73, 9 Pt 2.74-2.83, 2 Rh 2.78
Ni (0.2276, 0.6350, 0.4552)  10 Pt 2.65-2.79, 2 Ni 2.75
Rh (0.5000, 0.0000, 0.0000)  12 Pt 2.75-2.81
Ni (0.7724, 0.3650, 0.5448)  10 Pt 2.65-2.79, 2 Ni 2.75
Pt (0.9518, 0.2716, 0.9037)  1 Ni 2.73, 9 Pt 2.74-2.83, 2 Rh 2.78
Pt (0.4028, 0.5434, 0.8056)  3 Ni 2.67-2.70, 8 Pt 2.71-2.92, 1 Rh 2.78
Pt (0.6828, 0.9145, 0.3656)  8 Pt 2.72-2.78, 3 Ni 2.72-2.79, 1 Rh 2.75
Pt (0.8589, 0.8044, 0.7177)  3 Ni 2.65-2.69, 7 Pt 2.71-2.82, 2 Rh 2.81
Pt (0.5972, 0.4566, 0.1944)  3 Ni 2.67-2.70, 8 Pt 2.71-2.92, 1 Rh 2.78

Energy relative to the lowest polymorph listed for this composition (kJ per mole of atoms): 0.0
N(E_F) (states/eV per cell): 20.42
Volume (A^3/atom): 14.82
Formation energy from the elements (meV per atom): -46

---

4.
Entry from Alexandria: a geometry-optimized Ni5Pt2Rh4 structure (PBE-GGA).

Unit cell a=3.9612 b=6.1439 c=6.6428 alpha=85.42 beta=107.35 gamma=90.00
Closest atoms and distances in Å follow each position.
Element x y z (fractional)
Rh (0.0657, 0.3105, 0.1315)  3 Ni 2.52-2.69, 2 Rh 2.60-2.75, 4 Pt 2.72-2.78
Ni (0.5000, 0.0000, 0.0000)  4 Ni 2.41, 2 Pt 2.56
Ni (0.1013, 0.9004, 0.2026)  3 Ni 2.37-2.41, 3 Rh 2.52-2.57
Pt (0.5863, 0.6082, 0.1726)  6 Ni 2.56-2.69, 5 Rh 2.63-2.78, 1 Pt 2.65
Rh (0.7410, 0.8674, 0.4821)  6 Ni 2.55-2.77, 3 Rh 2.59-2.60, 1 Pt 2.63
Rh (0.9343, 0.6895, 0.8685)  3 Ni 2.52-2.69, 2 Rh 2.60-2.75, 4 Pt 2.72-2.78
Ni (0.8987, 0.0996, 0.7974)  3 Ni 2.37-2.41, 3 Rh 2.52-2.57
Rh (0.2590, 0.1326, 0.5179)  6 Ni 2.55-2.77, 3 Rh 2.59-2.60, 1 Pt 2.63
Pt (0.4137, 0.3918, 0.8274)  6 Ni 2.56-2.69, 5 Rh 2.63-2.78, 1 Pt 2.65
Ni (0.2210, 0.5833, 0.4419)  3 Ni 2.32-2.37
Ni (0.7790, 0.4167, 0.5581)  3 Ni 2.32-2.37

N(E_F) (states/eV per cell): 20.35
Volume (A^3/atom): 13.98
Formation energy from the elements (meV per atom): 199